[1]
Compound: EuGa2Hg
Source: Alexandria via LeMat-Bulk
Functional: PBE-GGA
Structure: optimized geometry

Results
space group	Fm-3m, No. 225

Unit cell a=7.133 b=7.133 c=7.133 alpha=90.00 beta=90.00 gamma=90.00
Sites, in units of the cell vectors:
1 Eu 0.000 0.000 0.000
2 Eu 0.000 0.500 0.500
3 Eu 0.500 0.000 0.500
4 Eu 0.500 0.500 0.000
5 Ga 0.250 0.250 0.250
6 Ga 0.250 0.250 0.750
7 Ga 0.250 0.750 0.250
8 Ga 0.250 0.750 0.750
9 Ga 0.750 0.250 0.250
10 Ga 0.750 0.250 0.750
11 Ga 0.750 0.750 0.250
12 Ga 0.750 0.750 0.750
13 Hg 0.000 0.000 0.500
14 Hg 0.000 0.500 0.000
15 Hg 0.500 0.000 0.000
16 Hg 0.500 0.500 0.500

***

[2]
Compound: BaTa2P2
Source: Alexandria via LeMat-Bulk
Functional: PBE-GGA
Structure: optimized geometry

Results
space group	P4/mbm, No. 127

Unit cell a=7.849 b=7.849 c=3.200 alpha=90.00 beta=90.00 gamma=90.00
Sites, in units of the cell vectors:
1 Ba 0.000 0.000 0.000
2 Ba 0.500 0.500 0.000
3 Ta 0.120 0.380 0.000
4 Ta 0.380 0.880 0.000
5 Ta 0.620 0.120 0.000
6 Ta 0.880 0.620 0.000
7 P 0.148 0.648 0.500
8 P 0.352 0.148 0.500
9 P 0.648 0.852 0.500
10 P 0.852 0.352 0.500

***

[3]
Compound: ErGe3Rh
Source: Alexandria via LeMat-Bulk
Functional: PBE-GGA
Structure: optimized geometry

Results
space group	Pmn2_1, No. 31

Unit cell a=5.960 b=5.575 c=5.822 alpha=90.00 beta=90.00 gamma=90.00
Sites, in units of the cell vectors:
1 Er 0.000 0.151 0.000
2 Er 0.500 0.849 0.500
3 Ge 0.000 0.904 0.571
4 Ge 0.236 0.314 0.454
5 Ge 0.264 0.686 0.954
6 Ge 0.500 0.096 0.071
7 Ge 0.736 0.686 0.954
8 Ge 0.764 0.314 0.454
9 Rh 0.000 0.620 0.264
10 Rh 0.500 0.380 0.764

***

| no. | VASP energy (eV per cell) |
| --- | --- |
| 1 | -71.13 |
| 2 | -72.79 |
| 3 | -57.26 |